Computed, not measured: a geometry-optimized SnF3 structure at the PBE level of DFT.

a b c (Å): 3.500 6.390 4.808
angles (deg): 90.00 90.00 90.00
Space group Imm2 (No. 44)
Asymmetric unit:
Sn 0.000 0.000 0.000
F 0.000 0.300 0.282
F 0.000 0.500 0.756

The size of the total moment comes out at 0.00 μB/cell. Its density of states at the Fermi level is 2.30 states/eV/cell. The calculation puts the formation energy without anion corrections at -2.118 eV/atom.

***

Computed, not measured: a geometry-optimized SnF4 structure at the PBE level of DFT.

a b c (Å): 4.155 4.155 8.397
angles (deg): 90.00 90.00 90.00
Space group I4/mmm (No. 139)
Asymmetric unit:
Sn 0.000 0.000 0.000
F 0.000 0.000 0.227
F 0.000 0.500 0.000

The size of the total moment comes out at 0.00 μB/cell. Its density of states at the Fermi level is 0.00 states/eV/cell. The calculation puts the formation energy without anion corrections at -2.370 eV/atom.

***

Computed, not measured: a geometry-optimized SnF3 structure at the PBE level of DFT.

a b c (Å): 5.659 5.659 5.659
angles (deg): 90.00 90.00 90.00
Space group Fm-3m (No. 225)
Asymmetric unit:
Sn 0.000 0.000 0.000
F 0.000 0.000 0.500
F 0.250 0.250 0.250

The size of the total moment comes out at 3.08 μB/cell. Its density of states at the Fermi level is 23.91 states/eV/cell. The calculation puts the formation energy without anion corrections at -1.769 eV/atom.

***

Computed, not measured: a geometry-optimized SnF4 structure at the PBE level of DFT.

a b c (Å): 6.927 9.944 4.998
angles (deg): 90.00 133.53 90.00
Space group C2/c (No. 15)
Asymmetric unit:
Sn 0.000 0.125 0.250
F 0.167 0.303 0.621
F 0.201 0.053 0.770

The size of the total moment comes out at 0.00 μB/cell. Its density of states at the Fermi level is 0.00 states/eV/cell. The calculation puts the formation energy without anion corrections at -2.330 eV/atom.

***

- Among the records above, which one has the highest formation energy without anion corrections?
  number 3

***

- Which formula does entry 1 have?
  SnF3